Compound: CdSb3Te
Source: Alexandria
Functional: PBE
Structure: optimized geometry

a b c (Å): 5.4967 5.4967 5.4967
angles (deg): 90.00 90.00 90.00
Element x y z (fractional)
Sb 0.0000 0.5000 0.0000
Sb 0.5000 0.0000 0.0000
Sb 0.0000 0.0000 0.5000
Cd 0.0000 0.0000 0.0000
Te 0.5000 0.5000 0.5000

Output
Calculated total energy in eV per cell: -12.7
Formation energy (no corrections) in eV per atom: 0.7412
Excess energy over the best structure of this formula in the dataset in eV/f.u.: 0.00

=====

Compound: TlSnRuO2
Source: Alexandria
Functional: PBE
Structure: optimized geometry

a b c (Å): 3.9557 6.5876 3.9557
angles (deg): 90.00 90.00 90.00
Site moments in Bohr magnetons follow the coordinates.
Element x y z (fractional)
O 0.5000 0.0000 0.0000  -0.02
O 0.0000 0.0000 0.5000  -0.02
Sn 0.0000 0.0000 0.0000  -0.01
Ru 0.5000 0.5000 0.5000  1.33
Tl 0.0000 0.5000 0.0000  -0.08

Output
Calculated total energy in eV per cell: -24.5
Formation energy (no corrections) in eV per atom: 0.2221

=====

Compound: TlNiSe2
Source: Alexandria
Functional: PBE
Structure: optimized geometry

a b c (Å): 3.6409 3.6409 7.9644
angles (deg): 76.79 76.79 60.00
Element x y z (fractional)
Se 0.0539 0.0539 0.8384
Se 0.2795 0.2795 0.1616
Ni 0.6666 0.6666 0.0003
Tl 0.5001 0.5001 0.4997

Output
Calculated total energy in eV per cell: -16.2
Formation energy (no corrections) in eV per atom: -0.2650

=====

Compound: PaNiHg
Source: Alexandria
Functional: PBE
Structure: optimized geometry

a b c (Å): 4.5295 4.5295 4.5295
angles (deg): 60.00 60.00 60.00
Element x y z (fractional)
Pa 0.0000 0.0000 0.0000
Hg 0.5000 0.5000 0.5000
Ni 0.2500 0.2500 0.2500

Output
Formation energy in meV per atom: -42
Calculated total energy in eV per cell: -15.7
Excess energy over the best structure of this formula in the dataset in eV/f.u.: 0.66

=====

Compound: PtRhN
Source: Alexandria
Functional: PBE
Structure: optimized geometry

a b c (Å): 2.8501 2.7976 10.0398
angles (deg): 90.00 90.00 90.00
Element x y z (fractional)
Rh 0.5000 0.0000 0.6162
Rh 0.5000 0.0000 0.9975
Pt 0.0000 0.5000 0.4212
Pt 0.0000 0.5000 0.8024
N 0.5000 0.5000 0.1477
N 0.5000 0.5000 0.2655

Output
Calculated total energy in eV per cell: -41.7
Formation energy (no corrections) in eV per atom: 0.2933
Excess energy over the best structure of this formula in the dataset in eV/f.u.: 0.36

=====

Compound: Sm2S2I
Source: Alexandria
Functional: PBE
Structure: optimized geometry

a b c (Å): 4.3631 5.5523 7.5189
angles (deg): 111.67 106.87 90.00
Element x y z (fractional)
Sm 0.3089 0.8089 0.6178
Sm 0.6911 0.1911 0.3822
I 0.0000 0.0000 0.0000
S 0.3150 0.3150 0.6300
S 0.6850 0.6850 0.3700

Output
Calculated total energy in eV per cell: -28.1
Formation energy (no corrections) in eV per atom: -1.7632

=====

Compound: Pu2PdC
Source: Alexandria
Functional: PBE
Structure: optimized geometry

a b c (Å): 3.4328 3.4328 7.7207
angles (deg): 77.16 77.16 60.00
Site moments in Bohr magnetons follow the coordinates.
Element x y z (fractional)
Pd 0.5000 0.5000 0.5000  -0.02
C 0.0000 0.0000 0.0000  -0.21
Pu 0.2686 0.2686 0.1942  5.08
Pu 0.7314 0.7314 0.8058  5.08

Output
Formation energy in meV per atom: -129
Calculated total energy in eV per cell: -43.6
Excess energy over the best structure of this formula in the dataset in eV/f.u.: 0.00

=====

Compound: UReC
Source: Alexandria
Functional: PBE
Structure: optimized geometry

a b c (Å): 2.7642 2.7642 5.8875
angles (deg): 103.58 103.58 90.00
Site moments in Bohr magnetons follow the coordinates.
Element x y z (fractional)
Re 0.2823 0.2823 0.5646  -0.04
C 0.6996 0.6996 0.3992  -0.01
U 0.0181 0.0181 0.0362  0.92

Output
Formation energy in meV per atom: 454
Calculated total energy in eV per cell: -31.6
Excess energy over the best structure of this formula in the dataset in eV/f.u.: 0.08

=====

Compound: Pr6AgTe5
Source: Alexandria
Functional: PBE
Structure: optimized geometry

a b c (Å): 7.8176 7.8176 7.8120
angles (deg): 99.65 99.65 120.05
Element x y z (fractional)
Te 0.8291 0.1709 0.5000
Te 0.3352 0.6648 0.0000
Te 0.1709 0.8291 0.5000
Te 0.5000 0.5000 0.5000
Te 0.6648 0.3352 0.0000
Pr 0.2445 0.2445 0.7502
Pr 0.4097 0.0800 0.2447
Pr 0.7555 0.7555 0.2498
Pr 0.0800 0.4097 0.2447
Pr 0.5903 0.9200 0.7553
Pr 0.9200 0.5903 0.7553
Ag 0.0000 0.0000 0.0000

Output
Calculated total energy in eV per cell: -62.2
Formation energy (no corrections) in eV per atom: -1.2499

=====

Compound: Tb3Zn2Cu
Source: Alexandria
Functional: PBE
Structure: optimized geometry

a b c (Å): 3.5496 3.5496 10.6528
angles (deg): 90.00 90.00 90.00
Element x y z (fractional)
Zn 0.5000 0.5000 0.1663
Zn 0.5000 0.5000 0.8337
Tb 0.0000 0.0000 0.6618
Tb 0.0000 0.0000 0.0000
Tb 0.0000 0.0000 0.3382
Cu 0.5000 0.5000 0.5000

Output
Formation energy in meV per atom: -304
Calculated total energy in eV per cell: -22.4
Excess energy over the best structure of this formula in the dataset in eV/f.u.: 0.00

=====

Compound: SrCrNi4
Source: Alexandria
Functional: PBE
Structure: optimized geometry

a b c (Å): 5.0144 5.0144 5.0144
angles (deg): 60.00 60.00 60.00
Site moments in Bohr magnetons follow the coordinates.
Element x y z (fractional)
Cr 0.0000 0.0000 0.0000  3.58
Ni 0.3737 0.3737 0.3737  0.39
Ni 0.8790 0.3737 0.3737  0.39
Ni 0.3737 0.8790 0.3737  0.39
Ni 0.3737 0.3737 0.8790  0.39
Sr 0.7500 0.7500 0.7500  0.03

Output
Formation energy in meV per atom: 211
Calculated total energy in eV per cell: -33.2

=====

Compound: Li2Zn17
Source: Alexandria
Functional: PBE
Structure: optimized geometry

a b c (Å): 6.7726 6.7726 6.7726
angles (deg): 82.65 82.65 82.65
Element x y z (fractional)
Zn 0.3088 0.0000 0.6912
Zn 0.8411 0.3494 0.3494
Zn 0.6506 0.1589 0.6506
Zn 0.6506 0.6506 0.1589
Zn 0.3088 0.6912 0.0000
Zn 0.0000 0.0000 0.5000
Zn 0.5000 0.0000 0.0000
Zn 0.0000 0.3088 0.6912
Zn 0.3494 0.3494 0.8411
Zn 0.6912 0.3088 0.0000
Zn 0.0000 0.5000 0.0000
Zn 0.1003 0.1003 0.1003
Zn 0.0000 0.6912 0.3088
Zn 0.6912 0.0000 0.3088
Zn 0.1589 0.6506 0.6506
Zn 0.3494 0.8411 0.3494
Zn 0.8997 0.8997 0.8997
Li 0.6707 0.6707 0.6707
Li 0.3293 0.3293 0.3293

Output
Formation energy in meV per atom: -42
Calculated total energy in eV per cell: -26.3

=====

Compound: K2PrRuO4
Source: Alexandria
Functional: PBE
Structure: optimized geometry

a b c (Å): 5.7382 5.7382 5.7382
angles (deg): 101.74 113.47 113.47
Site moments in Bohr magnetons follow the coordinates.
Element x y z (fractional)
K 0.0000 0.0000 0.0000  0.01
K 0.5000 0.7500 0.2500  0.00
O 0.8938 0.6133 0.1890  0.14
O 0.5757 0.2805 0.3867  0.14
O 0.4243 0.8110 0.7048  0.14
O 0.1062 0.2952 0.7195  0.14
Pr 0.5000 0.2500 0.7500  0.04
Ru 0.0000 0.5000 0.5000  2.10

Output
Calculated total energy in eV per cell: -49.8
Formation energy (no corrections) in eV per atom: -1.7159

=====

Compound: NpNi2Ge3
Source: Alexandria
Functional: PBE
Structure: optimized geometry

a b c (Å): 5.6492 5.6492 7.8876
angles (deg): 69.02 69.02 60.00
Site moments in Bohr magnetons follow the coordinates.
Element x y z (fractional)
Ni 0.5000 0.0000 0.0000  -0.02
Ni 0.0000 0.0000 0.0000  -0.06
Ni 0.0000 0.5000 0.0000  -0.02
Ni 0.5000 0.5000 0.0000  -0.02
Ge 0.7456 0.2525 0.2563  -0.03
Ge 0.7456 0.7456 0.2563  -0.03
Ge 0.7475 0.2544 0.7437  -0.03
Ge 0.2544 0.7475 0.7437  -0.03
Ge 0.2525 0.7456 0.2563  -0.03
Ge 0.2544 0.2544 0.7437  -0.03
Np 0.2023 0.2023 0.3930  3.66
Np 0.7977 0.7977 0.6070  3.66

Output
Formation energy in meV per atom: -167
Calculated total energy in eV per cell: -78.7

=====

Compound: CuAuCl6
Source: Alexandria
Functional: PBE
Structure: optimized geometry

a b c (Å): 6.3287 6.3293 6.5589
angles (deg): 61.16 61.14 59.99
Element x y z (fractional)
Cl 0.6178 0.2486 0.2559
Cl 0.1221 0.3822 0.7442
Cl 0.7514 0.1223 0.7441
Cl 0.8779 0.6178 0.2558
Cl 0.3822 0.7514 0.7441
Cl 0.2486 0.8777 0.2559
Au 0.0000 0.0000 0.0000
Cu 0.5000 0.5000 0.5000

Output
Calculated total energy in eV per cell: -19.9
Formation energy (no corrections) in eV per atom: -0.1763